(1)
Entry from Alexandria via LeMat-Bulk: CrNiPt2 after structural relaxation (PBE).

Computed properties:
- total DFT energy (no corrections) (eV/atom) = -6.957
- E_form (eV/atom) = -0.085

Cell lengths 8.712, 2.803, 4.681 Å; angles 90.00, 101.28, 90.00 degrees
Space group C2/m (No. 12)
Symmetry-distinct sites (fractional):
1 Cr 0.000 0.000 0.000
2 Ni 0.000 0.500 0.500
3 Pt 0.250 0.000 0.749

***

(2)
Entry from Alexandria via LeMat-Bulk: CrNi2Pt4 after structural relaxation (PBE).

Computed properties:
- distance to the lowest polymorph of the same formula (meV per atom) = 0
- total DFT energy (no corrections) (eV/atom) = -6.550
- E_form (eV/atom) = -0.072

Cell lengths 6.877, 7.906, 3.783 Å; angles 90.00, 90.00, 90.00 degrees
Space group Cmmm (No. 65)
Symmetry-distinct sites (fractional):
1 Cr 0.000 0.000 0.000
2 Ni 0.000 0.229 0.500
3 Pt 0.223 0.500 0.500
4 Pt 0.250 0.250 0.000

***

(3)
Entry from Alexandria via LeMat-Bulk: CrNiPt2 after structural relaxation (PBE).

Computed properties:
- total DFT energy (no corrections) (eV/atom) = -6.994
- E_form (eV/atom) = -0.122

Cell lengths 8.951, 2.754, 4.579 Å; angles 90.00, 102.54, 90.00 degrees
Space group Cm (No. 8)
Symmetry-distinct sites (fractional):
1 Cr 0.000 0.000 0.000
2 Ni 0.267 0.000 0.742
3 Pt 0.014 0.500 0.518
4 Pt 0.250 0.500 0.222

***

(4)
Entry from Alexandria via LeMat-Bulk: CrNiPt2 after structural relaxation (PBE).

Computed properties:
- total DFT energy (no corrections) (eV/atom) = -6.930
- E_form (eV/atom) = -0.059

Cell lengths 3.206, 3.206, 5.467 Å; angles 90.00, 90.00, 90.00 degrees
Space group P4mm (No. 99)
Symmetry-distinct sites (fractional):
1 Cr 0.000 0.000 0.000
2 Ni 0.500 0.500 0.225
3 Pt 0.000 0.000 0.463
4 Pt 0.500 0.500 0.760